(one)
Density functional theory data (GGA-PBE) for Zr4OsPd after structural relaxation.

Calculated values
The calculation puts the volume at 136.3 Å³ per cell. As for the symmetry: P4/mmm (123). For the density of states at the Fermi level, the calculation gives 6.92 states/eV/cell. For the magnetic moment, the calculation gives 0.00 μB per atom. As for the crystal system: tetragonal.

Cell lengths 4.5744, 4.5748, 6.5135 Å; angles 89.96, 89.98, 90.00 degrees
Closest atoms and distances in Å follow each position.
Fractional positions:
Zr: 0.5012 0.9970 0.2563  2 Os 2.78, 2 Pd 2.84
Zr: 0.5014 0.9976 0.7399  2 Os 2.78, 2 Pd 2.84
Zr: 0.0014 0.4975 0.7399  2 Os 2.78, 2 Pd 2.84
Zr: 0.0012 0.4971 0.2564  2 Os 2.78, 2 Pd 2.84
Os: 0.0013 0.9972 0.4982  8 Zr 2.78
Pd: 0.5013 0.4973 0.9981  8 Zr 2.84


(two)
Density functional theory data (GGA-PBE) for Zr4OsPd after structural relaxation.

Calculated values
The calculation puts the volume at 118.7 Å³ per cell. As for the symmetry: P4/mmm (123). For the density of states at the Fermi level, the calculation gives 4.55 states/eV/cell. For the magnetic moment, the calculation gives 0.00 μB per atom. As for the crystal system: tetragonal.

Cell lengths 3.3094, 3.3094, 10.8405 Å; angles 90.00, 90.00, 90.00 degrees
Closest atoms and distances in Å follow each position.
Fractional positions:
Zr: 0.5000 0.5000 0.8403  4 Pd 2.91, 4 Zr 3.12
Zr: 0.5000 0.5000 0.1597  4 Pd 2.91, 4 Zr 3.12
Zr: 0.0000 0.0000 0.6505  4 Os 2.85, 4 Zr 3.12
Zr: 0.0000 0.0000 0.3495  4 Os 2.85, 4 Zr 3.12
Os: 0.5000 0.5000 0.5000  8 Zr 2.85
Pd: 0.0000 0.0000 0.0000  8 Zr 2.91


The structure with the most favorable energy is (two); the runner-up is 213 meV per atom above it.


(one)
Density functional theory data (GGA-PBE) for Zr2Os2Pd after structural relaxation.

Calculated values
The calculation puts the volume at 185.4 Å³ per cell. As for the symmetry: P4/mbm (127). For the density of states at the Fermi level, the calculation gives 6.58 states/eV/cell. For the magnetic moment, the calculation gives 0.00 μB per atom. As for the crystal system: tetragonal.

Cell lengths 7.6739, 7.6739, 3.1488 Å; angles 90.00, 90.00, 90.00 degrees
Closest atoms and distances in Å follow each position.
Fractional positions:
Os: 0.1438 0.6438 0.5000  6 Zr 2.71-2.77
Os: 0.6438 0.8562 0.5000  6 Zr 2.71-2.77
Os: 0.8562 0.3562 0.5000  6 Zr 2.71-2.77
Os: 0.3562 0.1438 0.5000  6 Zr 2.71-2.77
Zr: 0.3465 0.8465 0.0000  6 Os 2.71-2.77, 2 Pd 2.91
Zr: 0.8465 0.6535 0.0000  6 Os 2.71-2.77, 2 Pd 2.91
Zr: 0.6535 0.1535 0.0000  6 Os 2.71-2.77, 2 Pd 2.91
Zr: 0.1535 0.3465 0.0000  6 Os 2.71-2.77, 2 Pd 2.91
Pd: 0.0000 0.0000 0.0000  4 Zr 2.91, 2 Pd 3.15
Pd: 0.5000 0.5000 0.0000  4 Zr 2.91, 2 Pd 3.15


(two)
Density functional theory data (GGA-PBE) for Zr2Os2Pd after structural relaxation.

Calculated values
The calculation puts the volume at 98.1 Å³ per cell. As for the symmetry: I4/mmm (139). For the density of states at the Fermi level, the calculation gives 6.23 states/eV/cell. For the magnetic moment, the calculation gives 0.00 μB per atom. As for the crystal system: tetragonal.

Cell lengths 3.5942, 3.5942, 8.0109 Å; angles 77.04, 77.04, 90.00 degrees
Closest atoms and distances in Å follow each position.
Fractional positions:
Os: 0.7500 0.2500 0.5000  4 Os 2.54, 4 Zr 2.84
Os: 0.2500 0.7500 0.5000  4 Os 2.54, 4 Zr 2.84
Zr: 0.3950 0.3950 0.2100  4 Os 2.84, 4 Pd 3.00
Zr: 0.6050 0.6050 0.7900  4 Os 2.84, 4 Pd 3.00
Pd: 0.0000 0.0000 0.0000  8 Zr 3.00


(three)
Density functional theory data (GGA-PBE) for Zr2Os2Pd after structural relaxation.

Calculated values
The calculation puts the volume at 184.4 Å³ per cell. As for the symmetry: P4/mbm (127). For the density of states at the Fermi level, the calculation gives 6.78 states/eV/cell. For the magnetic moment, the calculation gives 0.00 μB per atom. As for the crystal system: tetragonal.

Cell lengths 6.9143, 6.9143, 3.8580 Å; angles 90.00, 90.00, 90.00 degrees
Closest atoms and distances in Å follow each position.
Fractional positions:
Os: 0.3731 0.8731 0.0000  1 Os 2.48, 2 Zr 2.69, 2 Pd 2.72
Os: 0.8731 0.6269 0.0000  1 Os 2.48, 2 Zr 2.69, 2 Pd 2.72
Os: 0.6269 0.1269 0.0000  1 Os 2.48, 2 Zr 2.69, 2 Pd 2.72
Os: 0.1269 0.3731 0.0000  1 Os 2.48, 2 Zr 2.69, 2 Pd 2.72
Zr: 0.1812 0.6812 0.5000  6 Os 2.69-2.90
Zr: 0.6812 0.8188 0.5000  6 Os 2.69-2.90
Zr: 0.8188 0.3188 0.5000  6 Os 2.69-2.90
Zr: 0.3188 0.1812 0.5000  6 Os 2.69-2.90
Pd: 0.0000 0.0000 0.0000  4 Os 2.72
Pd: 0.5000 0.5000 0.0000  4 Os 2.72


The structure with the most favorable energy is (three); the runner-up is 251 meV per atom above it.


(one)
Density functional theory data (GGA-PBE) for Pm4Os after structural relaxation.

Calculated values
The calculation puts the volume at 173.7 Å³ per cell. As for the symmetry: Pm-3m (221). For the density of states at the Fermi level, the calculation gives 6.96 states/eV/cell. For the magnetic moment, the calculation gives 0.16 μB per atom. As for the crystal system: cubic.

Cell lengths 5.5800, 5.5800, 5.5800 Å; angles 90.00, 90.00, 90.00 degrees
Closest atoms and distances in Å follow each position.
Fractional positions:
Os: 0.5000 0.5000 0.5000  6 Pm 2.79
Pm: 0.0000 0.0000 0.0000  12 Pm 3.95
Pm: 0.5000 0.0000 0.5000  2 Os 2.79
Pm: 0.0000 0.5000 0.5000  2 Os 2.79
Pm: 0.5000 0.5000 0.0000  2 Os 2.79


(two)
Density functional theory data (GGA-PBE) for Pm4Os after structural relaxation.

Calculated values
The calculation puts the volume at 336.8 Å³ per cell. As for the symmetry: Fdd2 (43). For the density of states at the Fermi level, the calculation gives 8.69 states/eV/cell. For the magnetic moment, the calculation gives 0.00 μB per atom. As for the crystal system: orthorhombic.

Cell lengths 7.5676, 7.5676, 7.7631 Å; angles 104.24, 104.24, 119.68 degrees
Closest atoms and distances in Å follow each position.
Fractional positions:
Pm: 0.6773 0.4420 0.6619  1 Os 2.75
Pm: 0.7801 0.0154 0.3381  1 Os 2.75
Pm: 0.7690 0.0281 0.8406  2 Os 2.79-2.82
Pm: 0.1875 0.9284 0.1594  2 Os 2.79-2.82
Pm: 0.2781 0.5190 0.3406  2 Os 2.79-2.82
Pm: 0.1784 0.9375 0.6594  2 Os 2.79-2.82
Pm: 0.2654 0.5301 0.8381  1 Os 2.75
Pm: 0.6920 0.4273 0.1619  1 Os 2.75
Os: 0.2382 0.2382 0.0000  6 Pm 2.75-2.82
Os: 0.4882 0.9882 0.5000  6 Pm 2.75-2.82


The structure with the most favorable energy is (two); the runner-up is 123 meV per atom above it.


(one)
Density functional theory data (GGA-PBE) for Pm2PrOs after structural relaxation.

Calculated values
The calculation puts the volume at 109.2 Å³ per cell. As for the symmetry: R-3m (166). For the density of states at the Fermi level, the calculation gives 3.70 states/eV/cell. For the magnetic moment, the calculation gives 0.00 μB per atom. As for the crystal system: trigonal.

Cell lengths 4.8198, 4.8198, 6.0976 Å; angles 66.72, 66.72, 60.00 degrees
Closest atoms and distances in Å follow each position.
Fractional positions:
Pr: 0.5000 0.5000 0.5000  6 Pm 3.27
Os: 0.0000 0.0000 0.0000  6 Pm 2.96
Pm: 0.2717 0.2717 0.1850  3 Os 2.96, 3 Pr 3.27
Pm: 0.7283 0.7283 0.8150  3 Os 2.96, 3 Pr 3.27


(two)
Density functional theory data (GGA-PBE) for Pm2PrOs after structural relaxation.

Calculated values
The calculation puts the volume at 469.7 Å³ per cell. As for the symmetry: Pnma (62). For the density of states at the Fermi level, the calculation gives 15.07 states/eV/cell. For the magnetic moment, the calculation gives 0.00 μB per atom. As for the crystal system: orthorhombic.

Cell lengths 6.5368, 7.5059, 9.5729 Å; angles 90.00, 90.00, 90.00 degrees
Closest atoms and distances in Å follow each position.
Fractional positions:
Pm: 0.1687 0.6747 0.0663  2 Os 2.89-2.98
Pm: 0.3313 0.1747 0.4337  2 Os 2.89-2.98
Pm: 0.8313 0.3253 0.5663  2 Os 2.89-2.98
Pm: 0.6687 0.8253 0.9337  2 Os 2.89-2.98
Pm: 0.8313 0.3253 0.9337  2 Os 2.89-2.98
Pm: 0.6687 0.8253 0.5663  2 Os 2.89-2.98
Pm: 0.1687 0.6747 0.4337  2 Os 2.89-2.98
Pm: 0.3313 0.1747 0.0663  2 Os 2.89-2.98
Pr: 0.6379 0.5419 0.2500  2 Os 2.87-2.96
Pr: 0.8621 0.0419 0.2500  2 Os 2.87-2.96
Pr: 0.3621 0.4581 0.7500  2 Os 2.87-2.96
Pr: 0.1379 0.9581 0.7500  2 Os 2.87-2.96
Os: 0.0540 0.3860 0.2500  2 Pr 2.87-2.96, 4 Pm 2.89-2.98
Os: 0.4460 0.8860 0.2500  2 Pr 2.87-2.96, 4 Pm 2.89-2.98
Os: 0.9460 0.6140 0.7500  2 Pr 2.87-2.96, 4 Pm 2.89-2.98
Os: 0.5540 0.1140 0.7500  2 Pr 2.87-2.96, 4 Pm 2.89-2.98


The structure with the most favorable energy is (two); the runner-up is 315 meV per atom above it.


(one)
Density functional theory data (GGA-PBE) for PmPr2Os after structural relaxation.

Calculated values
The calculation puts the volume at 121.1 Å³ per cell. As for the symmetry: P4/mmm (123). For the density of states at the Fermi level, the calculation gives 3.30 states/eV/cell. For the magnetic moment, the calculation gives 0.00 μB per atom. As for the crystal system: tetragonal.

Cell lengths 3.5224, 3.5224, 9.7587 Å; angles 90.00, 90.00, 90.00 degrees
Closest atoms and distances in Å follow each position.
Fractional positions:
Pr: 0.0000 0.0000 0.8216  4 Os 3.04
Pr: 0.0000 0.0000 0.1784  4 Os 3.04
Os: 0.5000 0.5000 0.0000  8 Pr 3.04
Pm: 0.5000 0.5000 0.5000  4 Pm 3.52


(two)
Density functional theory data (GGA-PBE) for PmPr2Os after structural relaxation.

Calculated values
The calculation puts the volume at 478.0 Å³ per cell. As for the symmetry: Pnma (62). For the density of states at the Fermi level, the calculation gives 15.48 states/eV/cell. For the magnetic moment, the calculation gives 0.00 μB per atom. As for the crystal system: orthorhombic.

Cell lengths 6.5463, 7.4974, 9.7397 Å; angles 90.00, 90.00, 90.00 degrees
Closest atoms and distances in Å follow each position.
Fractional positions:
Pm: 0.6433 0.5437 0.2500  2 Os 2.85-2.90
Pm: 0.8567 0.0437 0.2500  2 Os 2.85-2.90
Pm: 0.3567 0.4563 0.7500  2 Os 2.85-2.90
Pm: 0.1433 0.9563 0.7500  2 Os 2.85-2.90
Pr: 0.1707 0.6749 0.0662  2 Os 2.93-3.02
Pr: 0.3293 0.1749 0.4338  2 Os 2.93-3.02
Pr: 0.8293 0.3251 0.5662  2 Os 2.93-3.02
Pr: 0.6707 0.8251 0.9338  2 Os 2.93-3.02
Pr: 0.8293 0.3251 0.9338  2 Os 2.93-3.02
Pr: 0.6707 0.8251 0.5662  2 Os 2.93-3.02
Pr: 0.1707 0.6749 0.4338  2 Os 2.93-3.02
Pr: 0.3293 0.1749 0.0662  2 Os 2.93-3.02
Os: 0.0467 0.3854 0.2500  2 Pm 2.85-2.90, 4 Pr 2.93-3.02
Os: 0.4533 0.8854 0.2500  2 Pm 2.85-2.90, 4 Pr 2.93-3.02
Os: 0.9533 0.6146 0.7500  2 Pm 2.85-2.90, 4 Pr 2.93-3.02
Os: 0.5467 0.1146 0.7500  2 Pm 2.85-2.90, 4 Pr 2.93-3.02


The structure with the most favorable energy is (two); the runner-up is 193 meV per atom above it.


(one)
Density functional theory data (GGA-PBE) for PmPr3Os after structural relaxation.

Calculated values
The calculation puts the volume at 333.5 Å³ per cell. As for the symmetry: C2/m (12). For the density of states at the Fermi level, the calculation gives 10.29 states/eV/cell. For the magnetic moment, the calculation gives 0.00 μB per atom. As for the crystal system: monoclinic.

Cell lengths 7.5596, 7.5596, 7.5800 Å; angles 108.68, 111.84, 107.80 degrees
Closest atoms and distances in Å follow each position.
Fractional positions:
Pm: 0.7003 0.0508 0.7511  1 Os 2.74
Pm: 0.2997 0.9492 0.2489  1 Os 2.74
Pr: 0.8489 0.0517 0.2948  1 Os 2.76
Pr: 0.2431 0.4459 0.2948  1 Os 2.76
Pr: 0.7569 0.5541 0.7052  1 Os 2.76
Pr: 0.7046 0.4483 0.1528  1 Os 2.77
Pr: 0.1511 0.9483 0.7052  1 Os 2.76
Pr: 0.2954 0.5517 0.8472  1 Os 2.77
Os: 0.6172 0.7513 0.3685  1 Pm 2.74, 3 Pr 2.76-2.77
Os: 0.3828 0.2487 0.6315  1 Pm 2.74, 3 Pr 2.76-2.77


(two)
Density functional theory data (GGA-PBE) for PmPr3Os after structural relaxation.

Calculated values
The calculation puts the volume at 181.2 Å³ per cell. As for the symmetry: Pm-3m (221). For the density of states at the Fermi level, the calculation gives 7.18 states/eV/cell. For the magnetic moment, the calculation gives 0.14 μB per atom. As for the crystal system: cubic.

Cell lengths 5.6590, 5.6590, 5.6590 Å; angles 90.00, 90.00, 90.00 degrees
Closest atoms and distances in Å follow each position.
Fractional positions:
Pr: 0.0000 0.5000 0.0000  2 Os 2.83
Pr: 0.0000 0.0000 0.5000  2 Os 2.83
Pr: 0.5000 0.0000 0.0000  2 Os 2.83
Os: 0.0000 0.0000 0.0000  6 Pr 2.83
Pm: 0.5000 0.5000 0.5000  12 Pr 4.00


The structure with the most favorable energy is (one); the runner-up is 225 meV per atom above it.